Computed, not measured: a geometry-optimized ZrScAs2Se structure at the PBE-GGA level of DFT.

a = 4.997 Å, b = 4.997 Å, c = 4.993 Å
α = 90.00°, β = 90.00°, γ = 90.00°
Space group P4/mmm (No. 123)
Asymmetric unit:
Zr 0.000 0.000 0.000 [1 per cell]
Sc 0.500 0.500 0.500 [1 per cell]
As 0.000 0.500 0.500 [2 per cell]
Se 0.500 0.500 0.000 [1 per cell]

Computed properties:
DOS(E_F), states/eV/f.u.: 4.85
Calculated density, Mg/m³: 4.86
Total energy, eV per atom: -5.530
Energy above the most stable polymorph in this dataset, meV per atom: 212

---

Computed, not measured: a geometry-optimized ZrScAs2Se structure at the PBE-GGA level of DFT.

a = 5.146 Å, b = 5.146 Å, c = 5.126 Å
α = 90.00°, β = 90.00°, γ = 90.00°
Space group P4/mmm (No. 123)
Asymmetric unit:
Zr 0.000 0.000 0.000 [1 per cell]
Sc 0.500 0.500 0.500 [1 per cell]
As 0.000 0.500 0.000 [2 per cell]
Se 0.000 0.000 0.500 [1 per cell]

Computed properties:
DOS(E_F), states/eV/f.u.: 3.38
Calculated density, Mg/m³: 4.46
Total energy, eV per atom: -5.742
Energy above the most stable polymorph in this dataset, meV per atom: 0

---

Computed, not measured: a geometry-optimized Sc2SiAs structure at the PBE-GGA level of DFT.

a = 3.344 Å, b = 3.344 Å, c = 7.071 Å
α = 90.00°, β = 90.00°, γ = 90.00°
Space group P4mm (No. 99)
Asymmetric unit:
Sc 0.000 0.000 0.000 [1 per cell]
Sc 0.500 0.500 0.371 [1 per cell]
Si 0.000 0.000 0.594 [1 per cell]
As 0.500 0.500 0.785 [1 per cell]

Computed properties:
DOS(E_F), states/eV/f.u.: 3.51
Calculated density, Mg/m³: 4.05
Total energy, eV per atom: -6.011

---

Computed, not measured: a geometry-optimized Sc2SiAs structure at the PBE-GGA level of DFT.

a = 6.481 Å, b = 3.730 Å, c = 7.084 Å
α = 90.00°, β = 107.61°, γ = 90.00°
Space group C2/m (No. 12)
Asymmetric unit:
Sc 0.247 0.000 0.241 [4 per cell]
Si 0.000 0.000 0.500 [2 per cell]
As 0.000 0.500 0.000 [2 per cell]

Computed properties:
DOS(E_F), states/eV/f.u.: 0.81
Calculated density, Mg/m³: 3.93
Total energy, eV per atom: -6.578

---

Computed, not measured: a geometry-optimized ScSiAs2 structure at the PBE-GGA level of DFT.

a = 3.686 Å, b = 3.686 Å, c = 5.418 Å
α = 90.00°, β = 90.00°, γ = 90.00°
Space group P4/mmm (No. 123)
Asymmetric unit:
Sc 0.000 0.000 0.000 [1 per cell]
Si 0.000 0.000 0.500 [1 per cell]
As 0.500 0.500 0.253 [2 per cell]

Computed properties:
DOS(E_F), states/eV/f.u.: 1.85
Calculated density, Mg/m³: 5.03
Total energy, eV per atom: -5.590

---

Computed, not measured: a geometry-optimized ScSiAs2 structure at the PBE-GGA level of DFT.

a = 4.008 Å, b = 4.008 Å, c = 9.196 Å
α = 90.00°, β = 90.00°, γ = 90.00°
Space group I4/mmm (No. 139)
Asymmetric unit:
Sc 0.000 0.000 0.000 [2 per cell]
Si 0.000 0.000 0.500 [2 per cell]
As 0.000 0.500 0.250 [4 per cell]

Computed properties:
DOS(E_F), states/eV/f.u.: 2.86
Calculated density, Mg/m³: 5.01
Total energy, eV per atom: -5.473

---

Computed, not measured: a geometry-optimized Sc2SiAs2 structure at the PBE-GGA level of DFT.

a = 7.234 Å, b = 7.234 Å, c = 3.677 Å
α = 90.00°, β = 90.00°, γ = 90.00°
Space group P4/mbm (No. 127)
Asymmetric unit:
Sc 0.155 0.345 0.000 [4 per cell]
Si 0.000 0.000 0.500 [2 per cell]
As 0.152 0.652 0.500 [4 per cell]

Computed properties:
DOS(E_F), states/eV/f.u.: 3.48
Calculated density, Mg/m³: 4.62
Total energy, eV per atom: -6.161

---

Computed, not measured: a geometry-optimized Sc2SiAs structure at the PBE-GGA level of DFT.

a = 3.902 Å, b = 3.902 Å, c = 9.643 Å
α = 90.00°, β = 90.00°, γ = 90.00°
Space group I-4m2 (No. 119)
Asymmetric unit:
Sc 0.000 0.000 0.000 [2 per cell]
Sc 0.000 0.500 0.250 [2 per cell]
Si 0.000 0.000 0.500 [2 per cell]
As 0.000 0.500 0.750 [2 per cell]

Computed properties:
DOS(E_F), states/eV/f.u.: 1.13
Calculated density, Mg/m³: 4.36
Total energy, eV per atom: -6.481

---

Computed, not measured: a geometry-optimized Sc2SiAs structure at the PBE-GGA level of DFT.

a = 7.205 Å, b = 7.205 Å, c = 6.254 Å
α = 90.00°, β = 90.00°, γ = 90.00°
Space group I-42d (No. 122)
Asymmetric unit:
Sc 0.248 0.750 0.125 [8 per cell]
Si 0.000 0.000 0.500 [4 per cell]
As 0.000 0.000 0.000 [4 per cell]

Computed properties:
DOS(E_F), states/eV/f.u.: 1.40
Calculated density, Mg/m³: 3.95
Total energy, eV per atom: -6.304

---

Computed, not measured: a geometry-optimized ScSiAs2 structure at the PBE-GGA level of DFT.

a = 3.860 Å, b = 5.217 Å, c = 7.544 Å
α = 90.00°, β = 90.00°, γ = 90.00°
Space group Cmmm (No. 65)
Asymmetric unit:
Sc 0.000 0.000 0.000 [2 per cell]
Si 0.000 0.000 0.500 [2 per cell]
As 0.000 0.500 0.249 [4 per cell]

Computed properties:
DOS(E_F), states/eV/f.u.: 2.12
Calculated density, Mg/m³: 4.87
Total energy, eV per atom: -5.418

---

Computed, not measured: a geometry-optimized ScSiAs2 structure at the PBE-GGA level of DFT.

a = 3.742 Å, b = 3.742 Å, c = 5.726 Å
α = 90.00°, β = 90.00°, γ = 90.00°
Space group P4mm (No. 99)
Asymmetric unit:
Sc 0.000 0.000 0.000 [1 per cell]
Si 0.500 0.500 0.380 [1 per cell]
As 0.000 0.000 0.486 [1 per cell]
As 0.500 0.500 0.952 [1 per cell]

Computed properties:
DOS(E_F), states/eV/f.u.: 1.27
Calculated density, Mg/m³: 4.62
Total energy, eV per atom: -5.785

---

Computed, not measured: a geometry-optimized ScSiAs2 structure at the PBE-GGA level of DFT.

a = 3.7045 Å, b = 3.7045 Å, c = 21.0165 Å
α = 90.00°, β = 90.00°, γ = 120.00°
Space group R3m (No. 160, hexagonal axes)
Asymmetric unit:
Sc 0.0000 0.0000 0.0000 [3 per cell]
Si 0.0000 0.0000 0.7575 [3 per cell]
As 0.0000 0.0000 0.2544 [3 per cell]
As 0.0000 0.0000 0.4821 [3 per cell]

Computed properties:
DOS(E_F), states/eV/f.u.: 3.19
Calculated density, Mg/m³: 4.45
Total energy, eV per atom: -5.496

---

Computed, not measured: a geometry-optimized ScSiAs2 structure at the PBE-GGA level of DFT.

a = 3.843 Å, b = 3.855 Å, c = 9.918 Å
α = 90.00°, β = 90.00°, γ = 90.00°
Space group Imm2 (No. 44)
Asymmetric unit:
Sc 0.000 0.000 0.000 [2 per cell]
Si 0.000 0.500 0.250 [2 per cell]
As 0.000 0.000 0.500 [2 per cell]
As 0.000 0.500 0.750 [2 per cell]

Computed properties:
DOS(E_F), states/eV/f.u.: 1.74
Calculated density, Mg/m³: 5.04
Total energy, eV per atom: -5.599

---

Computed, not measured: a geometry-optimized ScSi4As structure at the PBE-GGA level of DFT.

a = 7.231 Å, b = 7.231 Å, c = 7.231 Å
α = 90.00°, β = 90.00°, γ = 90.00°
Space group F-43m (No. 216)
Asymmetric unit:
Sc 0.000 0.000 0.000 [4 per cell]
Si 0.125 0.125 0.375 [16 per cell]
As 0.250 0.250 0.750 [4 per cell]

Computed properties:
DOS(E_F), states/eV/f.u.: 3.42
Calculated density, Mg/m³: 4.08
Total energy, eV per atom: -5.449

---

Computed, not measured: a geometry-optimized Sc2SiAs structure at the PBE-GGA level of DFT.

a = 6.731 Å, b = 6.731 Å, c = 6.731 Å
α = 90.00°, β = 90.00°, γ = 90.00°
Space group Fm-3m (No. 225)
Asymmetric unit:
Sc 0.250 0.250 0.250 [8 per cell]
Si 0.000 0.000 0.000 [4 per cell]
As 0.000 0.000 0.500 [4 per cell]

Computed properties:
DOS(E_F), states/eV/f.u.: 4.29
Calculated density, Mg/m³: 4.20
Total energy, eV per atom: -6.273

---

Computed, not measured: a geometry-optimized Sc2SiAs structure at the PBE-GGA level of DFT.

a = 3.332 Å, b = 3.589 Å, c = 6.650 Å
α = 90.00°, β = 104.23°, γ = 90.00°
Space group P2/m (No. 10)
Asymmetric unit:
Sc 0.014 0.000 0.250 [2 per cell]
Si 0.500 0.500 0.000 [1 per cell]
As 0.500 0.500 0.500 [1 per cell]

Computed properties:
DOS(E_F), states/eV/f.u.: 2.25
Calculated density, Mg/m³: 4.16
Total energy, eV per atom: -6.408

---

Computed, not measured: a geometry-optimized Sc5Si2As structure at the PBE-GGA level of DFT.

a = 7.062 Å, b = 7.062 Å, c = 12.534 Å
α = 90.00°, β = 90.00°, γ = 90.00°
Space group I4/mcm (No. 140)
Asymmetric unit:
Sc 0.000 0.000 0.000 [4 per cell]
Sc 0.165 0.335 0.146 [16 per cell]
Si 0.130 0.370 0.500 [8 per cell]
As 0.000 0.000 0.250 [4 per cell]

Computed properties:
DOS(E_F), states/eV/f.u.: 8.58
Calculated density, Mg/m³: 3.78
Total energy, eV per atom: -6.715

---

Computed, not measured: a geometry-optimized ScSiAs2 structure at the PBE-GGA level of DFT.

a = 6.224 Å, b = 6.224 Å, c = 10.049 Å
α = 90.00°, β = 90.00°, γ = 90.00°
Space group I-42d (No. 122)
Asymmetric unit:
Sc 0.000 0.000 0.000 [4 per cell]
Si 0.000 0.000 0.500 [4 per cell]
As 0.212 0.250 0.625 [8 per cell]

Computed properties:
DOS(E_F), states/eV/f.u.: 3.35
Calculated density, Mg/m³: 3.80
Total energy, eV per atom: -5.577

---

Computed, not measured: a geometry-optimized ScSiAs2 structure at the PBE-GGA level of DFT.

a = 3.759 Å, b = 3.727 Å, c = 5.557 Å
α = 90.00°, β = 105.28°, γ = 90.00°
Space group P2/m (No. 10)
Asymmetric unit:
Sc 0.000 0.000 0.000 [1 per cell]
Si 0.000 0.000 0.500 [1 per cell]
As 0.457 0.500 0.761 [2 per cell]

Computed properties:
DOS(E_F), states/eV/f.u.: 1.35
Calculated density, Mg/m³: 4.93
Total energy, eV per atom: -5.616

---

Computed, not measured: a geometry-optimized Sc10Si3As3 structure at the PBE-GGA level of DFT.

a = 7.9064 Å, b = 7.9064 Å, c = 5.7748 Å
α = 90.00°, β = 90.00°, γ = 120.00°
Space group P-62m (No. 189)
Asymmetric unit:
Sc 0.0000 0.2442 0.0000 [3 per cell]
Sc 0.0000 0.7558 0.5000 [3 per cell]
Sc 0.3333 0.6667 0.2536 [4 per cell]
Si 0.0000 0.3909 0.5000 [3 per cell]
As 0.0000 0.6090 0.0000 [3 per cell]

Computed properties:
DOS(E_F), states/eV/f.u.: 10.48
Calculated density, Mg/m³: 4.03
Total energy, eV per atom: -6.798

---

Computed, not measured: a geometry-optimized Sc2SiAs structure at the PBE-GGA level of DFT.

a = 3.4700 Å, b = 3.4700 Å, c = 24.6092 Å
α = 90.00°, β = 90.00°, γ = 120.00°
Space group R3m (No. 160, hexagonal axes)
Asymmetric unit:
Sc 0.0000 0.0000 0.0000 [3 per cell]
Sc 0.0000 0.0000 0.2313 [3 per cell]
Si 0.0000 0.0000 0.7558 [3 per cell]
As 0.0000 0.0000 0.4795 [3 per cell]

Computed properties:
DOS(E_F), states/eV/f.u.: 4.54
Calculated density, Mg/m³: 3.75
Total energy, eV per atom: -5.785

---

Computed, not measured: a geometry-optimized Sc2SiAs structure at the PBE-GGA level of DFT.

a = 3.7555 Å, b = 3.7555 Å, c = 25.0806 Å
α = 90.00°, β = 90.00°, γ = 120.00°
Space group R-3m (No. 166, hexagonal axes)
Asymmetric unit:
Sc 0.0000 0.0000 0.1064 [6 per cell]
Si 0.0000 0.0000 0.0000 [3 per cell]
As 0.0000 0.0000 0.5000 [3 per cell]

Computed properties:
DOS(E_F), states/eV/f.u.: 2.37
Calculated density, Mg/m³: 3.14
Total energy, eV per atom: -5.968

---

Computed, not measured: a geometry-optimized Sc2SiAs structure at the PBE-GGA level of DFT.

a = 6.698 Å, b = 6.698 Å, c = 6.698 Å
α = 90.00°, β = 90.00°, γ = 90.00°
Space group F-43m (No. 216)
Asymmetric unit:
Sc 0.000 0.000 0.000 [4 per cell]
Sc 0.250 0.250 0.250 [4 per cell]
Si 0.000 0.000 0.500 [4 per cell]
As 0.250 0.250 0.750 [4 per cell]

Computed properties:
DOS(E_F), states/eV/f.u.: 5.13
Calculated density, Mg/m³: 4.26
Total energy, eV per atom: -5.786

---

Computed, not measured: a geometry-optimized Sc2SiAs structure at the PBE-GGA level of DFT.

a = 4.408 Å, b = 4.408 Å, c = 7.596 Å
α = 90.00°, β = 90.00°, γ = 90.00°
Space group I4/mmm (No. 139)
Asymmetric unit:
Sc 0.000 0.500 0.250 [4 per cell]
Si 0.000 0.000 0.000 [2 per cell]
As 0.000 0.000 0.500 [2 per cell]

Computed properties:
DOS(E_F), states/eV/f.u.: 3.38
Calculated density, Mg/m³: 4.34
Total energy, eV per atom: -6.329

---

Computed, not measured: a geometry-optimized Sc2SiAs structure at the PBE-GGA level of DFT.

a = 10.062 Å, b = 3.852 Å, c = 3.860 Å
α = 90.00°, β = 93.73°, γ = 90.00°
Space group Cm (No. 8)
Asymmetric unit:
Sc 0.000 0.000 0.000 [2 per cell]
Sc 0.232 0.500 0.508 [2 per cell]
Si 0.465 0.000 0.493 [2 per cell]
As 0.274 0.000 0.020 [2 per cell]

Computed properties:
DOS(E_F), states/eV/f.u.: 1.15
Calculated density, Mg/m³: 4.29
Total energy, eV per atom: -6.598

---

Computed, not measured: a geometry-optimized Sc2SiAs structure at the PBE-GGA level of DFT.

a = 6.496 Å, b = 7.377 Å, c = 3.292 Å
α = 90.00°, β = 104.08°, γ = 90.00°
Space group C2/m (No. 12)
Asymmetric unit:
Sc 0.250 0.250 0.000 [4 per cell]
Si 0.000 0.000 0.500 [2 per cell]
As 0.000 0.500 0.500 [2 per cell]

Computed properties:
DOS(E_F), states/eV/f.u.: 1.99
Calculated density, Mg/m³: 4.19
Total energy, eV per atom: -6.406

---

Computed, not measured: a geometry-optimized Sc2SiAs structure at the PBE-GGA level of DFT.

a = 3.976 Å, b = 20.935 Å, c = 3.743 Å
α = 90.00°, β = 90.00°, γ = 90.00°
Space group Cmcm (No. 63)
Asymmetric unit:
Sc 0.000 0.063 0.250 [4 per cell]
Sc 0.000 0.318 0.250 [4 per cell]
Si 0.000 0.460 0.250 [4 per cell]
As 0.000 0.188 0.250 [4 per cell]

Computed properties:
DOS(E_F), states/eV/f.u.: 1.45
Calculated density, Mg/m³: 4.11
Total energy, eV per atom: -6.762

---

Computed, not measured: a geometry-optimized ScSiAs2 structure at the PBE-GGA level of DFT.

a = 3.849 Å, b = 4.973 Å, c = 8.220 Å
α = 90.00°, β = 90.00°, γ = 90.00°
Space group Cmm2 (No. 35)
Asymmetric unit:
Sc 0.000 0.000 0.000 [2 per cell]
Si 0.000 0.500 0.766 [2 per cell]
As 0.000 0.000 0.576 [2 per cell]
As 0.000 0.500 0.235 [2 per cell]

Computed properties:
DOS(E_F), states/eV/f.u.: 2.19
Calculated density, Mg/m³: 4.70
Total energy, eV per atom: -5.392